Entry 1:
Material: DyPuRe
Method: DFT, PBE
State: optimized geometry

Cell lengths 7.648, 7.648, 7.648 Å; angles 24.87, 24.87, 24.87 degrees
Sites, in units of the cell vectors:
Dy  0.000  0.000  0.000
Pu  0.805  0.805  0.805
Re  0.564  0.564  0.564

energy of formation = 1.37 eV/f.u.
symmetry = No. 160
DFT total energy = -10.003 eV/atom
distance to the lowest polymorph of the same formula = 0.288 eV/atom

---

Entry 2:
Material: HfCdCl2
Method: DFT, PBE
State: optimized geometry

Cell lengths 8.330, 8.330, 8.330 Å; angles 131.17, 131.17, 71.54 degrees
Sites, in units of the cell vectors:
Hf  0.000  0.000  0.000
Hf  0.750  0.250  0.500
Cd  0.250  0.750  0.500
Cd  0.500  0.500  0.000
Cl  0.375  0.157  0.282
Cl  0.843  0.125  0.218
Cl  0.875  0.093  0.718
Cl  0.907  0.625  0.782

symmetry = No. 122
DFT total energy = -3.935 eV/atom
distance to the lowest polymorph of the same formula = 0.669 eV/atom
uncorrected formation energy = -0.294 eV per atom

---

Entry 3:
Material: ErThMg
Method: DFT, PBE
State: optimized geometry

Cell lengths 3.540, 3.540, 13.787 Å; angles 90.00, 90.00, 90.00 degrees
Sites, in units of the cell vectors:
Er  0.250  0.250  0.230
Er  0.750  0.750  0.770
Th  0.250  0.250  0.591
Th  0.750  0.750  0.409
Mg  0.250  0.250  0.934
Mg  0.750  0.750  0.066

energy of formation = -0.06 eV/f.u.
symmetry = No. 129
DFT total energy = -4.547 eV/atom
distance to the lowest polymorph of the same formula = 0.000 eV/atom

---

> Among the records above, which one has the lowest distance to the lowest polymorph of the same formula?

ErThMg

---

> The lowest distance to the lowest polymorph of the same formula belongs to which entry?

ErThMg

---

> DFT total energy of number 3 (ErThMg)?

-4.547 eV/atom

---

> Among the records above, which one has the highest DFT total energy?

HfCdCl2